DFT (PBE with a Hubbard U) results for crystalline CrNiHgF6 at its relaxed geometry.

abc: 5.3489 5.3489 11.2595
angles: 90.00 90.00 120.00
Each line ends with the local moment (μB).
Fractional positions:
Cr (0.6667, 0.3333, 0.2500)  -2.99
Cr (0.3333, 0.6667, 0.7500)  -2.99
Ni (0.3333, 0.6667, 0.2500)  1.81
Ni (0.6667, 0.3333, 0.7500)  1.81
Hg (0.0000, 0.0000, 0.0000)  -0.41
Hg (0.0000, 0.0000, 0.5000)  -0.41
F (0.6349, 0.6239, 0.1552)  0.00
F (0.9889, 0.3651, 0.1552)  0.00
F (0.3651, 0.9889, 0.6552)  0.00
F (0.0111, 0.6349, 0.8448)  0.00
F (0.3761, 0.3651, 0.3448)  0.00
F (0.9889, 0.6239, 0.3448)  0.00
F (0.6239, 0.9889, 0.8448)  0.00
F (0.6349, 0.0111, 0.3448)  0.00
F (0.0111, 0.3761, 0.6552)  0.00
F (0.3761, 0.0111, 0.1552)  0.00
F (0.6239, 0.6349, 0.6552)  0.00
F (0.3651, 0.3761, 0.8448)  0.00

Properties
The value obtained for the total magnetization is 3.69 μB per cell. The density of states at the Fermi level is 2.12 states/eV/f.u. The final energy comes out at -80.950 eV per cell.